! Ac3PrSi6 | Alexandria | PBE | relaxed; values from VASP
&SYSTEM
  ibrav = 0, nat = 20, ntyp = 3
/
ATOMIC_SPECIES
Si 28.09 Si.upf
Pr 140.91 Pr.upf
Ac 227.00 Ac.upf
ATOMIC_POSITIONS crystal
Si 0.8949 0.5932 0.5162
Pr 0.0000 0.0000 0.0000
Si 0.6051 0.9838 0.9068
Si 0.5162 0.8949 0.5932
Ac 0.3112 0.1888 0.7500
Si 0.9838 0.9068 0.6051
Si 0.3949 0.0162 0.0932
Ac 0.1888 0.7500 0.3112
Si 0.4068 0.4838 0.1051
Si 0.0162 0.0932 0.3949
Si 0.9068 0.6051 0.9838
Si 0.5932 0.5162 0.8949
Si 0.0932 0.3949 0.0162
Pr 0.5000 0.5000 0.5000
Ac 0.8112 0.2500 0.6888
Si 0.4838 0.1051 0.4068
Ac 0.6888 0.8112 0.2500
Ac 0.2500 0.6888 0.8112
Ac 0.7500 0.3112 0.1888
Si 0.1051 0.4068 0.4838
CELL_PARAMETERS angstrom
-5.1232 -2.8867 5.6039
3.9912 -6.8825 -1.6388
5.4460 3.3903 4.9831
! formation energy (no corrections)	-0.466	eV per atom
! D(E_F)	12.7	states/eV per cell
! space-group type	R-3c, No. 167